(1)
Below is a relaxed structure of SrLaTa2, with properties calculated at the PBE level.

Results
- V: 303.4 Å³ per cell
- Polymorph energy (0 for the lowest one): 570 meV/atom

a b c (Å): 3.2169 3.2169 33.8540
angles (deg): 90.00 90.00 120.00
Space group R-3m (No. 166, hexagonal axes)
One atom of each set of equivalent atoms:
Sr  0.0000  0.0000  0.0000
La  0.0000  0.0000  0.5000
Ta  0.0000  0.0000  0.2478

(2)
Below is a relaxed structure of SrLaTa2, with properties calculated at the PBE level.

Results
- V: 199.2 Å³ per cell
- Polymorph energy (0 for the lowest one): 512 meV/atom

a b c (Å): 6.1380 10.7426 3.0207
angles (deg): 90.00 90.17 90.00
Space group C2/m (No. 12)
One atom of each set of equivalent atoms:
Sr  0.0000  0.0000  0.0000
La  0.0000  0.5000  0.0000
Ta  0.2500  0.2500  0.5000

(3)
Below is a relaxed structure of SrLaTa2, with properties calculated at the PBE level.

Results
- V: 200.7 Å³ per cell
- Polymorph energy (0 for the lowest one): 492 meV/atom

a b c (Å): 5.2309 5.2309 7.3358
angles (deg): 90.00 90.00 90.00
Space group I-4m2 (No. 119)
One atom of each set of equivalent atoms:
Sr  0.0000  0.0000  0.0000
La  0.0000  0.5000  0.2500
Ta  0.0000  0.0000  0.5000
Ta  0.0000  0.5000  0.7500

(4)
Below is a relaxed structure of SrLaTa2, with properties calculated at the PBE level.

Results
- V: 224.1 Å³ per cell
- Polymorph energy (0 for the lowest one): 319 meV/atom

a b c (Å): 3.4380 5.8396 11.1618
angles (deg): 90.00 90.00 90.00
Space group Imm2 (No. 44)
One atom of each set of equivalent atoms:
Sr  0.0000  0.0000  0.0000
La  0.0000  0.5000  0.2043
Ta  0.0000  0.0000  0.4468
Ta  0.0000  0.5000  0.7718

(5)
Below is a relaxed structure of SrLaTa2, with properties calculated at the PBE level.

Results
- V: 99.9 Å³ per cell
- Polymorph energy (0 for the lowest one): 534 meV/atom

a b c (Å): 4.3411 4.3411 5.3005
angles (deg): 90.00 90.00 90.00
Space group P4/mmm (No. 123)
One atom of each set of equivalent atoms:
Sr  0.0000  0.0000  0.0000
La  0.5000  0.5000  0.0000
Ta  0.0000  0.5000  0.5000

(6)
Below is a relaxed structure of SrLaTa2, with properties calculated at the PBE level.

Results
- V: 232.5 Å³ per cell
- Polymorph energy (0 for the lowest one): 446 meV/atom

a b c (Å): 10.8973 3.2032 6.6818
angles (deg): 90.00 94.66 90.00
Space group C2/m (No. 12)
One atom of each set of equivalent atoms:
Sr  0.0000  0.0000  0.0000
La  0.0000  0.5000  0.5000
Ta  0.2450  0.0000  0.6675

(7)
Below is a relaxed structure of SrLa2Ta, with properties calculated at the PBE level.

Results
- V: 256.0 Å³ per cell
- Polymorph energy (0 for the lowest one): 178 meV/atom

a b c (Å): 10.6925 3.4131 7.0689
angles (deg): 90.00 97.04 90.00
Space group C2/m (No. 12)
One atom of each set of equivalent atoms:
Sr  0.0000  0.0000  0.0000
La  0.2327  0.0000  0.7040
Ta  0.0000  0.5000  0.5000

(8)
Below is a relaxed structure of SrLaTa2, with properties calculated at the PBE level.

Results
- V: 100.4 Å³ per cell
- Polymorph energy (0 for the lowest one): 472 meV/atom

a b c (Å): 3.0430 3.0430 10.8408
angles (deg): 90.00 90.00 90.00
Space group P4/mmm (No. 123)
One atom of each set of equivalent atoms:
Sr  0.0000  0.0000  0.0000
La  0.0000  0.0000  0.5000
Ta  0.5000  0.5000  0.2620

(9)
Below is a relaxed structure of Sr2LaTa, with properties calculated at the PBE level.

Results
- V: 294.9 Å³ per cell
- Polymorph energy (0 for the lowest one): 127 meV/atom

a b c (Å): 3.7233 6.3247 12.5243
angles (deg): 90.00 90.00 90.00
Space group Imm2 (No. 44)
One atom of each set of equivalent atoms:
Sr  0.0000  0.0000  0.0000
Sr  0.0000  0.5000  0.2021
La  0.0000  0.0000  0.4016
Ta  0.0000  0.5000  0.7237

(10)
Below is a relaxed structure of Sr2LaTa, with properties calculated at the PBE level.

Results
- V: 272.8 Å³ per cell
- Polymorph energy (0 for the lowest one): 279 meV/atom

a b c (Å): 4.9624 4.9624 11.0785
angles (deg): 90.00 90.00 90.00
Space group I4/mmm (No. 139)
One atom of each set of equivalent atoms:
Sr  0.0000  0.5000  0.2500
La  0.0000  0.0000  0.0000
Ta  0.0000  0.0000  0.5000

(11)
Below is a relaxed structure of SrLa4Ta, with properties calculated at the PBE level.

Results
- V: 818.3 Å³ per cell

a b c (Å): 9.3533 9.3533 9.3533
angles (deg): 90.00 90.00 90.00
Space group F-43m (No. 216)
One atom of each set of equivalent atoms:
Sr  0.0000  0.0000  0.0000
La  0.1203  0.1203  0.3797
Ta  0.2500  0.2500  0.7500

(12)
Below is a relaxed structure of SrLa2Ta, with properties calculated at the PBE level.

Results
- V: 134.4 Å³ per cell
- Polymorph energy (0 for the lowest one): 195 meV/atom

a b c (Å): 3.5350 4.5965 8.2741
angles (deg): 90.00 90.00 90.00
Space group Pmm2 (No. 25)
One atom of each set of equivalent atoms:
Sr  0.0000  0.0000  0.0000
La  0.0000  0.0000  0.4202
La  0.5000  0.5000  0.6544
Ta  0.5000  0.5000  0.2580

Number 1: DOS(E_F) 1.603 states/eV per atom, total energy -79.3 eV per cell, energy relative to the elements 973 meV per atom. Number 2: DOS(E_F) 1.230 states/eV per atom, total energy -53.3 eV per cell, energy relative to the elements 914 meV per atom. Number 3: DOS(E_F) 1.074 states/eV per atom, total energy -53.5 eV per cell, energy relative to the elements 895 meV per atom. Number 4: DOS(E_F) 1.327 states/eV per atom, total energy -54.9 eV per cell, energy relative to the elements 722 meV per atom. Number 5: DOS(E_F) 1.287 states/eV per atom, total energy -26.6 eV per cell, energy relative to the elements 936 meV per atom. Number 6: DOS(E_F) 1.121 states/eV per atom, total energy -53.8 eV per cell, energy relative to the elements 848 meV per atom. Number 7: DOS(E_F) 1.423 states/eV per atom, total energy -42.2 eV per cell, energy relative to the elements 568 meV per atom. Number 8: DOS(E_F) 0.965 states/eV per atom, total energy -26.8 eV per cell, energy relative to the elements 875 meV per atom. Number 9: DOS(E_F) 0.970 states/eV per atom, total energy -34.7 eV per cell, energy relative to the elements 693 meV per atom. Number 10: DOS(E_F) 1.569 states/eV per atom, total energy -33.5 eV per cell, energy relative to the elements 845 meV per atom. Number 11: DOS(E_F) 1.469 states/eV per atom, total energy -115.5 eV per cell, energy relative to the elements 728 meV per atom. Number 12: DOS(E_F) 1.262 states/eV per atom, total energy -21.1 eV per cell, energy relative to the elements 585 meV per atom.